Record 1
! Pr2MoS6, optimized geometry, DFT PBE; values from VASP
&SYSTEM
  ibrav = 0, nat = 18, ntyp = 3
/
ATOMIC_SPECIES
Pr 140.91 Pr.upf
Mo 95.94 Mo.upf
S 32.06 S.upf
ATOMIC_POSITIONS crystal
Pr 0.000 0.000 0.329
Pr 0.500 0.500 0.829
Pr 0.500 0.500 0.171
Pr 0.000 0.000 0.671
Mo 0.000 0.000 0.000
Mo 0.500 0.500 0.500
S 0.312 0.312 0.361
S 0.688 0.688 0.361
S 0.188 0.812 0.861
S 0.812 0.188 0.861
S 0.188 0.812 0.139
S 0.812 0.188 0.139
S 0.312 0.312 0.639
S 0.688 0.688 0.639
S 0.279 0.279 0.000
S 0.721 0.721 0.000
S 0.221 0.779 0.500
S 0.779 0.221 0.500
CELL_PARAMETERS angstrom
6.339 0.000 0.000
0.000 6.339 0.000
0.000 0.000 11.984
! * uncorrected formation energy: -1.04 eV per atom
! * space group: P4_2/mnm, No. 136
! * density: 3.93 g/cm³
! * E: -6.0535 eV per atom

Record 2
! YPdSeBr2, optimized geometry, DFT PBE; values from VASP
&SYSTEM
  ibrav = 0, nat = 5, ntyp = 4
/
ATOMIC_SPECIES
Y 88.91 Y.upf
Se 78.96 Se.upf
Br 79.90 Br.upf
Pd 106.42 Pd.upf
ATOMIC_POSITIONS crystal
Y 0.500 0.500 0.500
Se 0.000 0.000 0.500
Br 0.000 0.500 0.000
Br 0.500 0.000 0.000
Pd 0.000 0.000 0.000
CELL_PARAMETERS angstrom
-0.211 3.408 3.645
2.331 -3.158 3.088
4.595 1.908 -1.517
! * relative energy among the computed polymorphs: 67 meV per atom
! * uncorrected formation energy: -0.48 eV per atom
! * space group: P4/mmm, No. 123
! * density: 5.56 g/cm³
! * E: -4.1816 eV per atom

Record 3
! PrSmBi2, optimized geometry, DFT PBE; values from VASP
&SYSTEM
  ibrav = 0, nat = 8, ntyp = 3
/
ATOMIC_SPECIES
Pr 140.91 Pr.upf
Sm 150.36 Sm.upf
Bi 208.98 Bi.upf
ATOMIC_POSITIONS crystal
Pr 0.667 0.333 0.250
Pr 0.333 0.667 0.750
Sm 0.000 0.000 0.500
Sm 0.000 0.000 0.000
Bi 0.333 0.667 0.380
Bi 0.667 0.333 0.880
Bi 0.667 0.333 0.620
Bi 0.333 0.667 0.120
CELL_PARAMETERS angstrom
-0.558 3.272 -3.169
2.564 -3.689 -0.937
-12.271 -7.192 -5.263
! * relative energy among the computed polymorphs: 53 meV per atom
! * calculated formation energy: -85.83 kJ per mole of atoms
! * space group: P6_3/mmc, No. 194
! * density: 8.52 g/cm³
! * E: -5.2047 eV per atom

Record 4
! TbTmHgIr, optimized geometry, DFT PBE; values from VASP
&SYSTEM
  ibrav = 0, nat = 4, ntyp = 4
/
ATOMIC_SPECIES
Tb 158.93 Tb.upf
Ir 192.22 Ir.upf
Tm 168.93 Tm.upf
Hg 200.59 Hg.upf
ATOMIC_POSITIONS crystal
Tb 0.750 0.750 0.750
Ir 0.000 0.000 0.000
Tm 0.250 0.250 0.250
Hg 0.500 0.500 0.500
CELL_PARAMETERS angstrom
5.014 0.000 0.000
2.507 4.342 0.000
2.507 1.447 4.094
! * calculated formation energy: -61.11 kJ per mole of atoms
! * space group: F-43m, No. 216
! * density: 13.43 g/cm³
! * E: -5.1995 eV per atom

Record 5
! Ba2Cd2P, optimized geometry, DFT PBE; values from VASP
&SYSTEM
  ibrav = 0, nat = 5, ntyp = 3
/
ATOMIC_SPECIES
P 30.97 P.upf
Ba 137.33 Ba.upf
Cd 112.41 Cd.upf
ATOMIC_POSITIONS crystal
P 0.000 0.000 0.000
Ba 0.750 0.250 0.500
Ba 0.250 0.750 0.500
Cd 0.331 0.331 0.338
Cd 0.669 0.669 0.662
CELL_PARAMETERS angstrom
-4.270 0.887 5.086
-2.254 -6.258 -0.801
-0.475 -4.019 4.715
! * relative energy among the computed polymorphs: 381 meV per atom
! * calculated formation energy: -9.59 kJ per mole of atoms
! * space group: I4/mmm, No. 139
! * density: 4.88 g/cm³
! * E: -2.3165 eV per atom

Record 6
! Sr2TlW, optimized geometry, DFT PBE; values from VASP
&SYSTEM
  ibrav = 0, nat = 4, ntyp = 3
/
ATOMIC_SPECIES
Sr 87.62 Sr.upf
Tl 204.38 Tl.upf
W 183.84 W.upf
ATOMIC_POSITIONS crystal
Sr 0.000 0.000 0.927
Sr 0.500 0.500 0.323
Tl 0.000 0.000 0.571
W 0.500 0.500 0.680
CELL_PARAMETERS angstrom
-1.628 -3.398 -0.435
2.528 -1.516 2.387
-5.488 1.743 6.918
! * relative energy among the computed polymorphs: 6 meV per atom
! * calculated formation energy: 69.54 kJ per mole of atoms
! * space group: P4mm, No. 99
! * density: 7.23 g/cm³
! * E: -3.9500 eV per atom

Record 7
! AlInSn2, optimized geometry, DFT PBE; values from VASP
&SYSTEM
  ibrav = 0, nat = 4, ntyp = 3
/
ATOMIC_SPECIES
Al 26.98 Al.upf
Sn 118.71 Sn.upf
In 114.82 In.upf
ATOMIC_POSITIONS crystal
Al 0.500 0.500 0.000
Sn 0.000 0.000 0.788
Sn 0.000 0.000 0.212
In 0.500 0.500 0.500
CELL_PARAMETERS angstrom
3.581 0.000 0.000
0.000 3.581 0.000
0.000 0.000 7.873
! * relative energy among the computed polymorphs: 0 meV per atom
! * calculated formation energy: 9.11 kJ per mole of atoms
! * space group: P4/mmm, No. 123
! * density: 6.24 g/cm³
! * E: -3.5273 eV per atom

Record 8
! TaTlSeBr2, optimized geometry, DFT PBE; values from VASP
&SYSTEM
  ibrav = 0, nat = 5, ntyp = 4
/
ATOMIC_SPECIES
Tl 204.38 Tl.upf
Se 78.96 Se.upf
Br 79.90 Br.upf
Ta 180.95 Ta.upf
ATOMIC_POSITIONS crystal
Tl 0.000 0.000 0.000
Se 0.000 0.000 0.500
Br 0.000 0.500 0.000
Br 0.500 0.000 0.000
Ta 0.500 0.500 0.500
CELL_PARAMETERS angstrom
5.408 0.000 0.000
0.000 5.408 0.000
0.000 0.000 5.388
! * relative energy among the computed polymorphs: 1428 meV per atom
! * uncorrected formation energy: 1.07 eV per atom
! * space group: P4/mmm, No. 123
! * density: 6.58 g/cm³
! * E: -3.1436 eV per atom